a | The following is a DFT calculation (meta-GGA SCAN) of a crystal of Ba3Ag relaxed with PBEsol.

Cell and atoms, written as CIF:
```
data_Ba3Ag
_chemical_formula_sum 'Ba3 Ag1'
_cell_length_a 4.436
_cell_length_b 4.436
_cell_length_c 11.537
_cell_angle_alpha 90.00
_cell_angle_beta 90.00
_cell_angle_gamma 120.00
_space_group_name_H-M_alt 'P 1'
_space_group_IT_number 1
_space_group_name_Hall 'P 1'
loop_
_atom_site_label
_atom_site_fract_x
_atom_site_fract_y
_atom_site_fract_z
_atom_site_occupancy
Ba1 0.000 0.000 0.500 1
Ba2 0.333 0.667 0.818 1
Ba3 0.333 0.667 0.182 1
Ag1 0.000 0.000 0.000 1
```

Properties
Spin magnetization, μB/f.u.: 0.142
Mass density, g/cm³: 4.4
DOS at the Fermi energy, states/eV/cell: 4.59


b | The following is a DFT calculation (meta-GGA SCAN) of a crystal of Ba3Ag relaxed with PBEsol.

Cell and atoms, written as CIF:
```
data_Ba3Ag
_chemical_formula_sum 'Ba6 Ag2'
_cell_length_a 4.590
_cell_length_b 9.256
_cell_length_c 9.256
_cell_angle_alpha 105.28
_cell_angle_beta 90.00
_cell_angle_gamma 90.00
_space_group_name_H-M_alt 'P 1'
_space_group_IT_number 1
_space_group_name_Hall 'P 1'
loop_
_atom_site_label
_atom_site_fract_x
_atom_site_fract_y
_atom_site_fract_z
_atom_site_occupancy
Ba1 0.750 0.883 0.117 1
Ba2 0.250 0.117 0.883 1
Ba3 0.750 0.817 0.555 1
Ba4 0.250 0.183 0.445 1
Ba5 0.750 0.445 0.183 1
Ba6 0.250 0.555 0.817 1
Ag1 0.250 0.725 0.275 1
Ag2 0.750 0.275 0.725 1
```

Properties
Spin magnetization, μB/f.u.: 0.015
Mass density, g/cm³: 4.6
DOS at the Fermi energy, states/eV/cell: 8.04


c | The following is a DFT calculation (meta-GGA SCAN) of a crystal of Ba3Ag relaxed with PBEsol.

Cell and atoms, written as CIF:
```
data_Ba3Ag
_chemical_formula_sum 'Ba3 Ag1'
_cell_length_a 4.623
_cell_length_b 4.623
_cell_length_c 11.462
_cell_angle_alpha 78.36
_cell_angle_beta 78.36
_cell_angle_gamma 60.00
_space_group_name_H-M_alt 'P 1'
_space_group_IT_number 1
_space_group_name_Hall 'P 1'
loop_
_atom_site_label
_atom_site_fract_x
_atom_site_fract_y
_atom_site_fract_z
_atom_site_occupancy
Ba1 0.723 0.723 0.832 1
Ba2 0.500 0.500 0.500 1
Ba3 0.277 0.277 0.168 1
Ag1 0.000 0.000 0.000 1
```

Properties
Spin magnetization, μB/f.u.: 0.151
Mass density, g/cm³: 4.2
DOS at the Fermi energy, states/eV/cell: 4.42


d | The following is a DFT calculation (meta-GGA SCAN) of a crystal of Ba3Ag relaxed with PBEsol.

Cell and atoms, written as CIF:
```
data_Ba3Ag
_chemical_formula_sum 'Ba3 Ag1'
_cell_length_a 4.108
_cell_length_b 4.108
_cell_length_c 10.666
_cell_angle_alpha 90.00
_cell_angle_beta 90.00
_cell_angle_gamma 90.00
_space_group_name_H-M_alt 'P 1'
_space_group_IT_number 1
_space_group_name_Hall 'P 1'
loop_
_atom_site_label
_atom_site_fract_x
_atom_site_fract_y
_atom_site_fract_z
_atom_site_occupancy
Ba1 0.500 0.500 0.822 1
Ba2 0.000 0.000 0.500 1
Ba3 0.500 0.500 0.178 1
Ag1 0.000 0.000 0.000 1
```

Properties
Spin magnetization, μB/f.u.: 0.001
Mass density, g/cm³: 4.8
DOS at the Fermi energy, states/eV/cell: 3.14


Result of the stability comparison: a is the least stable of them.


a | The following is a DFT calculation (meta-GGA SCAN) of a crystal of Ba3Ag2 relaxed with PBEsol.

Cell and atoms, written as CIF:
```
data_Ba3Ag2
_chemical_formula_sum 'Ba3 Ag2'
_cell_length_a 4.698
_cell_length_b 4.698
_cell_length_c 11.808
_cell_angle_alpha 78.53
_cell_angle_beta 78.53
_cell_angle_gamma 60.00
_space_group_name_H-M_alt 'P 1'
_space_group_IT_number 1
_space_group_name_Hall 'P 1'
loop_
_atom_site_label
_atom_site_fract_x
_atom_site_fract_y
_atom_site_fract_z
_atom_site_occupancy
Ba1 0.000 0.000 0.000 1
Ba2 0.222 0.222 0.334 1
Ba3 0.778 0.778 0.666 1
Ag1 0.609 0.609 0.173 1
Ag2 0.391 0.391 0.827 1
```

Properties
Spin magnetization, μB/f.u.: 0.023
Mass density, g/cm³: 4.7
DOS at the Fermi energy, states/eV/cell: 3.10


b | The following is a DFT calculation (meta-GGA SCAN) of a crystal of Ba3Ag2 relaxed with PBEsol.

Cell and atoms, written as CIF:
```
data_Ba3Ag2
_chemical_formula_sum 'Ba3 Ag2'
_cell_length_a 5.651
_cell_length_b 5.651
_cell_length_c 6.926
_cell_angle_alpha 90.00
_cell_angle_beta 90.00
_cell_angle_gamma 120.00
_space_group_name_H-M_alt 'P 1'
_space_group_IT_number 1
_space_group_name_Hall 'P 1'
loop_
_atom_site_label
_atom_site_fract_x
_atom_site_fract_y
_atom_site_fract_z
_atom_site_occupancy
Ba1 0.000 0.000 0.000 1
Ba2 0.333 0.667 0.328 1
Ba3 0.667 0.333 0.672 1
Ag1 0.333 0.667 0.829 1
Ag2 0.667 0.333 0.171 1
```

Properties
Spin magnetization, μB/f.u.: 0.017
Mass density, g/cm³: 5.4
DOS at the Fermi energy, states/eV/cell: 3.35


c | The following is a DFT calculation (meta-GGA SCAN) of a crystal of Ba3Ag2 relaxed with PBEsol.

Cell and atoms, written as CIF:
```
data_Ba3Ag2
_chemical_formula_sum 'Ba9 Ag6'
_cell_length_a 8.941
_cell_length_b 8.941
_cell_length_c 8.941
_cell_angle_alpha 72.70
_cell_angle_beta 72.70
_cell_angle_gamma 72.70
_space_group_name_H-M_alt 'P 1'
_space_group_IT_number 1
_space_group_name_Hall 'P 1'
loop_
_atom_site_label
_atom_site_fract_x
_atom_site_fract_y
_atom_site_fract_z
_atom_site_occupancy
Ba1 0.500 0.500 0.500 1
Ba2 0.294 0.294 0.294 1
Ba3 0.706 0.706 0.706 1
Ba4 0.832 0.335 0.114 1
Ba5 0.335 0.114 0.832 1
Ba6 0.114 0.832 0.335 1
Ba7 0.168 0.665 0.886 1
Ba8 0.665 0.886 0.168 1
Ba9 0.886 0.168 0.665 1
Ag1 0.463 0.634 0.090 1
Ag2 0.634 0.090 0.463 1
Ag3 0.090 0.463 0.634 1
Ag4 0.537 0.366 0.910 1
Ag5 0.366 0.910 0.537 1
Ag6 0.910 0.537 0.366 1
```

Properties
Spin magnetization, μB/f.u.: 0.110
Mass density, g/cm³: 4.9
DOS at the Fermi energy, states/eV/cell: 12.85


Result of the stability comparison: a is the least stable of them.